! K2GeSe (GGA-PBE, optimized geometry); values from VASP
&SYSTEM
  ibrav = 0, nat = 8, ntyp = 3
/
ATOMIC_SPECIES
K 39.10 K.upf
Ge 72.64 Ge.upf
Se 78.96 Se.upf
ATOMIC_POSITIONS crystal
K 0.375 0.056 0.181
K 0.806 0.625 0.681
K 0.875 0.194 0.819
K 0.944 0.125 0.319
Ge 0.250 0.750 0.500
Ge 0.500 0.500 0.000
Se 0.000 0.000 0.000
Se 0.750 0.250 0.500
CELL_PARAMETERS angstrom
-5.983 5.983 2.688
5.983 -5.983 2.688
5.983 5.983 -2.688
! Symmetry: No. 122
! ΔE_f (raw), eV/atom: -0.2186
! Energy above the most stable polymorph in this dataset, eV/atom: 0.000
! VASP energy, eV per atom: -2.793

=====

! TmAlPt5 (GGA-PBE, optimized geometry); values from VASP
&SYSTEM
  ibrav = 0, nat = 7, ntyp = 3
/
ATOMIC_SPECIES
Tm 168.93 Tm.upf
Al 26.98 Al.upf
Pt 195.08 Pt.upf
ATOMIC_POSITIONS crystal
Tm 0.000 0.000 0.000
Al 0.500 0.500 0.500
Pt 0.000 0.500 0.290
Pt 0.000 0.500 0.710
Pt 0.500 0.000 0.290
Pt 0.500 0.000 0.710
Pt 0.500 0.500 0.000
CELL_PARAMETERS angstrom
4.049 0.000 0.000
0.000 4.049 0.000
0.000 0.000 7.246
! Symmetry: No. 123
! Energy of formation from the pure elements, kJ/mol of formula units: -621
! VASP energy, eV per atom: -6.407

=====

! Sm6IrSe5 (GGA-PBE, optimized geometry); values from VASP
&SYSTEM
  ibrav = 0, nat = 12, ntyp = 3
/
ATOMIC_SPECIES
Sm 150.36 Sm.upf
Ir 192.22 Ir.upf
Se 78.96 Se.upf
ATOMIC_POSITIONS crystal
Sm 0.078 0.395 0.738
Sm 0.236 0.236 0.259
Sm 0.395 0.078 0.738
Sm 0.605 0.922 0.262
Sm 0.764 0.764 0.741
Sm 0.922 0.605 0.262
Ir 0.000 0.000 0.500
Se 0.174 0.826 0.000
Se 0.334 0.666 0.500
Se 0.500 0.500 0.000
Se 0.666 0.334 0.500
Se 0.826 0.174 0.000
CELL_PARAMETERS angstrom
3.645 -6.297 0.000
3.645 6.297 0.000
-2.427 0.000 6.833
! Symmetry: No. 12
! ΔE_f (raw), eV/atom: -1.6599
! VASP energy, eV per atom: -6.210

=====

! Nd2ScTlO (GGA-PBE, optimized geometry); values from VASP
&SYSTEM
  ibrav = 0, nat = 5, ntyp = 4
/
ATOMIC_SPECIES
Nd 144.24 Nd.upf
Sc 44.96 Sc.upf
Tl 204.38 Tl.upf
O 16.00 O.upf
ATOMIC_POSITIONS crystal
Nd 0.000 0.500 0.000
Nd 0.500 0.000 0.000
Sc 0.000 0.000 0.500
Tl 0.500 0.500 0.500
O 0.000 0.000 0.000
CELL_PARAMETERS angstrom
5.060 0.000 0.000
0.000 5.060 0.000
0.000 0.000 4.440
! Symmetry: No. 123
! ΔE_f (raw), eV/atom: -1.3344
! VASP energy, eV per atom: -5.973

=====

! Ag2PdCS (GGA-PBE, optimized geometry); values from VASP
&SYSTEM
  ibrav = 0, nat = 5, ntyp = 4
/
ATOMIC_SPECIES
Ag 107.87 Ag.upf
Pd 106.42 Pd.upf
C 12.01 C.upf
S 32.06 S.upf
ATOMIC_POSITIONS crystal
Ag 0.000 0.500 0.000
Ag 0.500 0.000 0.000
Pd 0.000 0.000 0.000
C 0.500 0.500 0.500
S 0.000 0.000 0.500
CELL_PARAMETERS angstrom
5.254 0.000 0.000
0.000 5.254 0.000
0.000 0.000 4.316
! Symmetry: No. 123
! ΔE_f (raw), eV/atom: 1.6847
! VASP energy, eV per atom: -3.165

=====

! Ca2Dy2Zn3 (GGA-PBE, optimized geometry); values from VASP
&SYSTEM
  ibrav = 0, nat = 7, ntyp = 3
/
ATOMIC_SPECIES
Ca 40.08 Ca.upf
Dy 162.50 Dy.upf
Zn 65.41 Zn.upf
ATOMIC_POSITIONS crystal
Ca 0.126 0.126 0.126
Ca 0.874 0.874 0.874
Dy 0.375 0.375 0.375
Dy 0.625 0.625 0.625
Zn 0.000 0.000 0.000
Zn 0.257 0.257 0.257
Zn 0.743 0.743 0.743
CELL_PARAMETERS angstrom
2.512 1.450 8.483
-2.512 1.450 8.483
0.000 -2.901 8.483
! Symmetry: No. 166
! Energy of formation from the pure elements, kJ/mol of formula units: -139
! VASP energy, eV per atom: -2.638

=====

! Mg6GaNi (GGA-PBE, optimized geometry); values from VASP
&SYSTEM
  ibrav = 0, nat = 8, ntyp = 3
/
ATOMIC_SPECIES
Mg 24.30 Mg.upf
Ga 69.72 Ga.upf
Ni 58.69 Ni.upf
ATOMIC_POSITIONS crystal
Mg 0.000 0.000 0.000
Mg 0.000 0.020 0.494
Mg 0.000 0.494 0.020
Mg 0.500 0.331 0.821
Mg 0.500 0.821 0.331
Mg 0.500 0.829 0.829
Ga 0.000 0.496 0.496
Ni 0.500 0.332 0.332
CELL_PARAMETERS angstrom
4.899 0.000 0.000
0.000 3.022 5.195
0.000 -3.022 5.195
! Symmetry: No. 38
! Energy of formation from the pure elements, kJ/mol of formula units: -22
! Energy above the most stable polymorph in this dataset, eV/atom: 0.000
! VASP energy, eV per atom: -2.325

=====

! Tb4Tm15Mg (GGA-PBE, optimized geometry); values from VASP
&SYSTEM
  ibrav = 0, nat = 20, ntyp = 3
/
ATOMIC_SPECIES
Tb 158.93 Tb.upf
Tm 168.93 Tm.upf
Mg 24.30 Mg.upf
ATOMIC_POSITIONS crystal
Tb 0.000 0.000 0.101
Tb 0.000 0.000 0.302
Tb 0.000 0.000 0.698
Tb 0.000 0.000 0.899
Tm 0.000 0.500 0.000
Tm 0.000 0.500 0.202
Tm 0.000 0.500 0.402
Tm 0.000 0.500 0.598
Tm 0.000 0.500 0.798
Tm 0.500 0.000 0.000
Tm 0.500 0.000 0.202
Tm 0.500 0.000 0.402
Tm 0.500 0.000 0.598
Tm 0.500 0.000 0.798
Tm 0.500 0.500 0.101
Tm 0.500 0.500 0.304
Tm 0.500 0.500 0.500
Tm 0.500 0.500 0.696
Tm 0.500 0.500 0.899
Mg 0.000 0.000 0.500
CELL_PARAMETERS angstrom
4.934 0.000 0.000
0.000 4.934 0.000
0.000 0.000 24.722
! Symmetry: No. 123
! Energy of formation from the pure elements, kJ/mol of formula units: 47
! VASP energy, eV per atom: -4.335

=====

! HfSc5Cu4 (GGA-PBE, optimized geometry); values from VASP
&SYSTEM
  ibrav = 0, nat = 10, ntyp = 3
/
ATOMIC_SPECIES
Hf 178.49 Hf.upf
Sc 44.96 Sc.upf
Cu 63.55 Cu.upf
ATOMIC_POSITIONS crystal
Hf 0.000 0.000 0.000
Sc 0.500 0.500 0.126
Sc 0.500 0.500 0.313
Sc 0.500 0.500 0.500
Sc 0.500 0.500 0.687
Sc 0.500 0.500 0.874
Cu 0.000 0.000 0.221
Cu 0.000 0.000 0.407
Cu 0.000 0.000 0.593
Cu 0.000 0.000 0.779
CELL_PARAMETERS angstrom
3.232 0.000 0.000
0.000 3.232 0.000
0.000 0.000 17.660
! Symmetry: No. 123
! Energy of formation from the pure elements, kJ/mol of formula units: -202
! VASP energy, eV per atom: -6.009

=====

! Pr6In2Rh (GGA-PBE, optimized geometry); values from VASP
&SYSTEM
  ibrav = 0, nat = 9, ntyp = 3
/
ATOMIC_SPECIES
Pr 140.91 Pr.upf
In 114.82 In.upf
Rh 102.91 Rh.upf
ATOMIC_POSITIONS crystal
Pr 0.099 0.350 0.750
Pr 0.225 0.000 0.225
Pr 0.400 0.650 0.750
Pr 0.600 0.350 0.250
Pr 0.775 0.000 0.775
Pr 0.901 0.650 0.250
In 0.330 0.830 0.500
In 0.670 0.170 0.500
Rh 0.000 0.500 0.500
CELL_PARAMETERS angstrom
-2.784 3.695 7.472
2.784 -3.695 7.472
2.784 3.695 -7.472
! Symmetry: No. 71
! Energy of formation from the pure elements, kJ/mol of formula units: -179
! Energy above the most stable polymorph in this dataset, eV/atom: 0.192
! VASP energy, eV per atom: -4.818

=====

! NdDyTh2 (GGA-PBE, optimized geometry); values from VASP
&SYSTEM
  ibrav = 0, nat = 4, ntyp = 3
/
ATOMIC_SPECIES
Nd 144.24 Nd.upf
Dy 162.50 Dy.upf
Th 232.04 Th.upf
ATOMIC_POSITIONS crystal
Nd 0.000 0.000 0.000
Dy 0.500 0.500 0.500
Th 0.250 0.250 0.250
Th 0.750 0.750 0.750
CELL_PARAMETERS angstrom
0.000 4.030 4.030
4.030 0.000 4.030
4.030 4.030 0.000
! Symmetry: No. 225
! Energy of formation from the pure elements, kJ/mol of formula units: 73
! Energy above the most stable polymorph in this dataset, eV/atom: 0.159
! VASP energy, eV per atom: -5.864

=====

! La4NdHo7 (GGA-PBE, optimized geometry); values from VASP
&SYSTEM
  ibrav = 0, nat = 12, ntyp = 3
/
ATOMIC_SPECIES
La 138.91 La.upf
Nd 144.24 Nd.upf
Ho 164.93 Ho.upf
ATOMIC_POSITIONS crystal
La 0.134 0.134 0.277
La 0.280 0.280 0.836
La 0.720 0.720 0.164
La 0.866 0.866 0.723
Nd 0.500 0.500 0.500
Ho 0.000 0.000 0.500
Ho 0.133 0.133 0.995
Ho 0.289 0.289 0.576
Ho 0.430 0.430 0.188
Ho 0.570 0.570 0.812
Ho 0.711 0.711 0.424
Ho 0.867 0.867 0.005
CELL_PARAMETERS angstrom
6.095 -2.983 0.000
6.095 2.983 0.000
-6.044 0.000 11.475
! Symmetry: No. 12
! Energy of formation from the pure elements, kJ/mol of formula units: 282
! VASP energy, eV per atom: -4.466

=====

Copy entry 4 word for word.
! Nd2ScTlO (GGA-PBE, optimized geometry); values from VASP
&SYSTEM
  ibrav = 0, nat = 5, ntyp = 4
/
ATOMIC_SPECIES
Nd 144.24 Nd.upf
Sc 44.96 Sc.upf
Tl 204.38 Tl.upf
O 16.00 O.upf
ATOMIC_POSITIONS crystal
Nd 0.000 0.500 0.000
Nd 0.500 0.000 0.000
Sc 0.000 0.000 0.500
Tl 0.500 0.500 0.500
O 0.000 0.000 0.000
CELL_PARAMETERS angstrom
5.060 0.000 0.000
0.000 5.060 0.000
0.000 0.000 4.440
! Symmetry: No. 123
! ΔE_f (raw), eV/atom: -1.3344
! VASP energy, eV per atom: -5.973